Here is an optimized crystal structure of SmSc2Se3 from Alexandria. Energies are from PBE-GGA.

E_form (uncorrected) (meV/atom): -1185
Volume (Å³/atom): 30.9
Size of the total moment (μB/atom): 0.0000
Density of states at the Fermi level (states/eV/f.u.): 2.16

Cell: 5.6915 8.1838 8.1838 Å, 103.79 90.00 90.00°
With the nearest neighbours (Å) after each atom.
Positions (direct):
Sm  0.2500  0.4092  0.5908  6 Se 3.02-3.26
Sm  0.7500  0.5908  0.4092  6 Se 3.02-3.26
Sc  0.0000  0.1777  0.1777  4 Se 2.62-2.67, 2 Sc 2.85
Sc  0.5000  0.1777  0.1777  4 Se 2.62-2.67, 2 Sc 2.85
Sc  0.0000  0.8223  0.8223  4 Se 2.62-2.67, 2 Sc 2.85
Sc  0.5000  0.8223  0.8223  4 Se 2.62-2.67, 2 Sc 2.85
Se  0.7500  0.1063  0.8937  4 Sc 2.67
Se  0.7500  0.2348  0.4539  2 Sc 2.62
Se  0.2500  0.4539  0.2348  2 Sc 2.62
Se  0.7500  0.5461  0.7652  2 Sc 2.62
Se  0.2500  0.7652  0.5461  2 Sc 2.62
Se  0.2500  0.8937  0.1063  4 Sc 2.67